1.
Here is a geometry-optimized Pr2YHo4Sc structure from Alexandria via LeMat-Bulk. Energies are from PBE-GGA.

a = 5.033 Å, b = 5.033 Å, c = 9.973 Å
α = 90.00°, β = 90.00°, γ = 90.00°
Space group P4/mmm (No. 123)
Inequivalent atoms, fractional coordinates:
1 Pr 0.000 0.000 0.000 (multiplicity 1)
2 Pr 0.500 0.500 0.500 (multiplicity 1)
3 Y 0.000 0.000 0.500 (multiplicity 1)
4 Ho 0.000 0.500 0.244 (multiplicity 4)
5 Sc 0.500 0.500 0.000 (multiplicity 1)

## Properties
**Calculated formation energy**: 0.04 eV/atom
**Calculated density**: 7.1 g/cm³
**Crystal system**: tetragonal

2.
Here is a geometry-optimized PrY2Ho6Sc3 structure from Alexandria via LeMat-Bulk. Energies are from PBE-GGA.

a = 6.052 Å, b = 10.478 Å, c = 11.499 Å
α = 90.00°, β = 100.08°, γ = 90.00°
Space group C2/m (No. 12)
Inequivalent atoms, fractional coordinates:
1 Pr 0.000 0.000 0.000 (multiplicity 2)
2 Y 0.000 0.333 0.000 (multiplicity 4)
3 Ho 0.246 0.000 0.738 (multiplicity 4)
4 Ho 0.246 0.333 0.739 (multiplicity 8)
5 Sc 0.000 0.167 0.500 (multiplicity 4)
6 Sc 0.000 0.500 0.500 (multiplicity 2)

## Properties
**Calculated formation energy**: 0.05 eV/atom
**Calculated density**: 6.7 g/cm³
**Crystal system**: monoclinic

3.
Here is a geometry-optimized Pr6Y3Ho2Sc structure from Alexandria via LeMat-Bulk. Energies are from PBE-GGA.

a = 6.279 Å, b = 10.876 Å, c = 11.805 Å
α = 90.00°, β = 100.20°, γ = 90.00°
Space group C2/m (No. 12)
Inequivalent atoms, fractional coordinates:
1 Pr 0.247 0.165 0.246 (multiplicity 8)
2 Pr 0.249 0.000 0.754 (multiplicity 4)
3 Y 0.000 0.167 0.500 (multiplicity 4)
4 Y 0.000 0.500 0.500 (multiplicity 2)
5 Ho 0.000 0.333 0.000 (multiplicity 4)
6 Sc 0.000 0.000 0.000 (multiplicity 2)

## Properties
**Calculated formation energy**: 0.02 eV/atom
**Calculated density**: 6.2 g/cm³
**Crystal system**: monoclinic

4.
Here is a geometry-optimized PrY2HoSc4 structure from Alexandria via LeMat-Bulk. Energies are from PBE-GGA.

a = 11.915 Å, b = 6.891 Å, c = 11.739 Å
α = 90.00°, β = 109.77°, γ = 90.00°
Space group C2/m (No. 12)
Inequivalent atoms, fractional coordinates:
1 Pr 0.250 0.250 0.000 (multiplicity 4)
2 Y 0.000 0.000 0.000 (multiplicity 2)
3 Y 0.000 0.000 0.500 (multiplicity 2)
4 Y 0.250 0.250 0.500 (multiplicity 4)
5 Ho 0.000 0.500 0.000 (multiplicity 2)
6 Ho 0.000 0.500 0.500 (multiplicity 2)
7 Sc 0.001 0.251 0.252 (multiplicity 8)
8 Sc 0.249 0.500 0.748 (multiplicity 4)
9 Sc 0.250 0.000 0.749 (multiplicity 4)

## Properties
**Calculated formation energy**: 0.07 eV/atom
**Calculated density**: 4.9 g/cm³
**Crystal system**: monoclinic